DFT (PBE) results for crystalline MgHg at its relaxed geometry.

Computed properties:
Final energy, eV per atom: -1.167
V, A^3/atom: 21.4
ΔE_f, eV per atom: -0.219
Space group: P4/mmm, No. 123
Density, g/cm³: 8.74
N(E_F), states/eV/atom: 0.351

Geometry as CIF:
```
data_MgHg
_chemical_formula_sum 'Mg1 Hg1'
_space_group_name_H-M_alt 'P 1'
_space_group_IT_number 1
_space_group_name_Hall 'P 1'
_cell_length_a 3.485
_cell_length_b 3.485
_cell_length_c 3.519
_cell_angle_alpha 90.00
_cell_angle_beta 90.00
_cell_angle_gamma 90.00
loop_
_atom_site_label
_atom_site_type_symbol
_atom_site_fract_x
_atom_site_fract_y
_atom_site_fract_z
Mg1 Mg 0.500 0.500 0.500
Hg1 Hg 0.000 0.000 0.000
```

---

DFT (PBE) results for crystalline MgHg3 at its relaxed geometry.

Computed properties:
Final energy, eV per atom: -0.694
V, A^3/atom: 23.7
ΔE_f, eV per atom: -0.069
Space group: Cmmm, No. 65
Density, g/cm³: 10.96
N(E_F), states/eV/atom: 0.224

Geometry as CIF:
```
data_MgHg3
_chemical_formula_sum 'Mg1 Hg3'
_space_group_name_H-M_alt 'P 1'
_space_group_IT_number 1
_space_group_name_Hall 'P 1'
_cell_length_a 5.128
_cell_length_b 5.128
_cell_length_c 3.783
_cell_angle_alpha 90.00
_cell_angle_beta 90.00
_cell_angle_gamma 107.40
loop_
_atom_site_label
_atom_site_type_symbol
_atom_site_fract_x
_atom_site_fract_y
_atom_site_fract_z
Mg1 Mg 0.500 0.500 0.000
Hg1 Hg 0.000 0.000 0.000
Hg2 Hg 0.000 0.500 0.500
Hg3 Hg 0.500 0.000 0.500
```

---

DFT (PBE) results for crystalline Mg5Hg at its relaxed geometry.

Computed properties:
Final energy, eV per atom: -1.438
V, A^3/atom: 22.1
ΔE_f, eV per atom: -0.059
Space group: Cm, No. 8
Density, g/cm³: 4.03
N(E_F), states/eV/atom: 0.440
Excess energy over the best structure of this formula in the dataset, meV/atom: 30

Geometry as CIF:
```
data_Mg5Hg
_chemical_formula_sum 'Mg5 Hg1'
_space_group_name_H-M_alt 'P 1'
_space_group_IT_number 1
_space_group_name_Hall 'P 1'
_cell_length_a 4.991
_cell_length_b 4.995
_cell_length_c 6.146
_cell_angle_alpha 90.09
_cell_angle_beta 90.00
_cell_angle_gamma 119.97
loop_
_atom_site_label
_atom_site_type_symbol
_atom_site_fract_x
_atom_site_fract_y
_atom_site_fract_z
Mg1 Mg 0.972 0.944 0.076
Mg2 Mg 0.306 0.611 0.223
Mg3 Mg 0.639 0.277 0.873
Mg4 Mg 0.639 0.278 0.368
Mg5 Mg 0.972 0.945 0.571
Hg1 Hg 0.305 0.611 0.723
```